Here is a PBEsol-optimized structure of KBa3Au from the Alexandria database. Energies are from SCAN. Values from VASP.

The structure in Quantum ESPRESSO input format:
```
&SYSTEM
  ibrav = 0, nat = 5, ntyp = 3
/
ATOMIC_SPECIES
K 39.10 K.upf
Au 196.97 Au.upf
Ba 137.33 Ba.upf
ATOMIC_POSITIONS crystal
K 0.500 0.500 0.500
Au 0.000 0.000 0.000
Ba 0.000 0.000 0.500
Ba 0.000 0.500 0.000
Ba 0.500 0.000 0.000
CELL_PARAMETERS angstrom
6.461 0.000 0.000
0.000 6.461 0.000
0.000 0.000 6.461
```

**Energy relative to the elements**: -0.37 eV per atom
**Symmetry**: Pm-3m, No. 221
**E**: -39.594 eV/atom
**Crystal system**: cubic



Here is a PBEsol-optimized structure of In2TcSe from the Alexandria database. Energies are from SCAN. Values from VASP.

The structure in Quantum ESPRESSO input format:
```
&SYSTEM
  ibrav = 0, nat = 4, ntyp = 3
/
ATOMIC_SPECIES
Tc 98.00 Tc.upf
In 114.82 In.upf
Se 78.96 Se.upf
ATOMIC_POSITIONS crystal
Tc 0.500 0.000 0.000
In 0.000 0.000 0.500
In 0.000 0.500 0.000
Se 0.500 0.500 0.500
CELL_PARAMETERS angstrom
-2.550 1.778 0.596
-0.283 -1.927 4.538
2.888 3.973 0.507
```

**Symmetry**: Cmmm, No. 65
**E**: -30.151 eV/atom
**Crystal system**: orthorhombic
**Energy relative to the elements, uncorrected**: 327 meV/atom



Here is a PBEsol-optimized structure of MgTa2Ir from the Alexandria database. Energies are from SCAN. Values from VASP.

The structure in Quantum ESPRESSO input format:
```
&SYSTEM
  ibrav = 0, nat = 4, ntyp = 3
/
ATOMIC_SPECIES
Ta 180.95 Ta.upf
Mg 24.30 Mg.upf
Ir 192.22 Ir.upf
ATOMIC_POSITIONS crystal
Ta 0.500 0.500 0.281
Ta 0.000 0.000 0.010
Mg 0.500 0.500 0.717
Ir 0.000 0.000 0.492
CELL_PARAMETERS angstrom
-2.109 -1.899 0.664
1.985 -2.121 0.237
0.908 1.726 7.821
```

**Energy relative to the elements**: -0.23 eV per atom
**Symmetry**: P4mm, No. 99
**E**: -52.536 eV/atom
**Crystal system**: tetragonal



Here is a PBEsol-optimized structure of LiBe4W from the Alexandria database. Energies are from SCAN. Values from VASP.

The structure in Quantum ESPRESSO input format:
```
&SYSTEM
  ibrav = 0, nat = 6, ntyp = 3
/
ATOMIC_SPECIES
Be 9.01 Be.upf
Li 6.94 Li.upf
W 183.84 W.upf
ATOMIC_POSITIONS crystal
Be 0.372 0.372 0.372
Be 0.372 0.885 0.372
Be 0.885 0.372 0.372
Be 0.372 0.372 0.885
Li 0.750 0.750 0.750
W 0.000 0.000 0.000
CELL_PARAMETERS angstrom
4.371 0.000 0.000
2.186 3.785 0.000
2.186 1.262 3.569
```

**Energy relative to the elements**: 0.19 eV per atom
**Symmetry**: F-43m, No. 216
**E**: -14.727 eV/atom
**Crystal system**: cubic



Repeat the fourth record exactly.
Here is a PBEsol-optimized structure of LiBe4W from the Alexandria database. Energies are from SCAN. Values from VASP.

The structure in Quantum ESPRESSO input format:
```
&SYSTEM
  ibrav = 0, nat = 6, ntyp = 3
/
ATOMIC_SPECIES
Be 9.01 Be.upf
Li 6.94 Li.upf
W 183.84 W.upf
ATOMIC_POSITIONS crystal
Be 0.372 0.372 0.372
Be 0.372 0.885 0.372
Be 0.885 0.372 0.372
Be 0.372 0.372 0.885
Li 0.750 0.750 0.750
W 0.000 0.000 0.000
CELL_PARAMETERS angstrom
4.371 0.000 0.000
2.186 3.785 0.000
2.186 1.262 3.569
```

**Energy relative to the elements**: 0.19 eV per atom
**Symmetry**: F-43m, No. 216
**E**: -14.727 eV/atom
**Crystal system**: cubic



What is the E in the fourth record?
-14.727 eV/atom



Number 1 is which compound?
KBa3Au